Entry 1:
DFT (PBE-GGA) results for Ba2ZnSb after structural relaxation.

Cell: 5.9191 5.9191 5.9191 Å, 60.00 60.00 60.00°
Positions (direct):
Sb (0.5000, 0.5000, 0.5000)
Zn (0.0000, 0.0000, 0.0000)
Ba (0.2500, 0.2500, 0.2500)
Ba (0.7500, 0.7500, 0.7500)

Values from the calculation:
As for the polymorph energy (0 for the lowest one): 0.047 eV/atom. The value obtained for the formation energy without anion corrections is -2.386 eV per formula unit.

***

Entry 2:
DFT (PBE-GGA) results for ZrSnGeS2 after structural relaxation.

Cell: 4.8528 5.9977 4.8528 Å, 90.00 90.00 90.00°
Positions (direct):
S (0.0000, 0.0000, 0.5000)
S (0.5000, 0.0000, 0.0000)
Ge (0.5000, 0.5000, 0.5000)
Sn (0.0000, 0.5000, 0.0000)
Zr (0.0000, 0.0000, 0.0000)

Values from the calculation:
The value obtained for the formation energy without anion corrections is -0.408 eV per formula unit.

***

Entry 3:
DFT (PBE-GGA) results for InSeN2 after structural relaxation.

Cell: 4.7031 4.7031 6.6111 Å, 69.16 69.16 90.00°
Positions (direct):
N (0.6062, 0.1250, 0.2500)
N (0.1438, 0.6250, 0.2500)
N (0.3750, 0.3938, 0.7500)
N (0.8750, 0.8562, 0.7500)
Se (0.5000, 0.5000, 0.0000)
Se (0.2500, 0.7500, 0.5000)
In (0.0000, 0.0000, 0.0000)
In (0.7500, 0.2500, 0.5000)

Values from the calculation:
As for the polymorph energy (0 for the lowest one): 1.036 eV/atom. The value obtained for the formation energy without anion corrections is 3.649 eV per formula unit.

***

Entry 4:
DFT (PBE-GGA) results for MnH7Pd5 after structural relaxation.

Cell: 4.9703 6.1460 10.1615 Å, 97.64 99.77 125.20°
Positions (direct):
Mn (0.9632, 0.8081, 0.2244)
Mn (0.0726, 0.2782, 0.7250)
H (0.4316, 0.1578, 0.2708)
H (0.6833, 0.9355, 0.8012)
H (0.4914, 0.4370, 0.0790)
H (0.0976, 0.8169, 0.0079)
H (0.5753, 0.7679, 0.4489)
H (0.5220, 0.0724, 0.5656)
H (0.1445, 0.5445, 0.2372)
H (0.8566, 0.4622, 0.8023)
H (0.1332, 0.7753, 0.6759)
H (0.8735, 0.1315, 0.2726)
H (0.6455, 0.9317, 0.0258)
H (0.2896, 0.1501, 0.8516)
H (0.2335, 0.3019, 0.5525)
H (0.7820, 0.5423, 0.4588)
Pd (0.0317, 0.0911, 0.9721)
Pd (0.6660, 0.4979, 0.9300)
Pd (0.3462, 0.6639, 0.1088)
Pd (0.6309, 0.0609, 0.3956)
Pd (0.4381, 0.7511, 0.6063)
Pd (0.0429, 0.9202, 0.5089)
Pd (0.3635, 0.4039, 0.3404)
Pd (0.6895, 0.4485, 0.6263)
Pd (0.3083, 0.8133, 0.8597)
Pd (0.6949, 0.2508, 0.1525)

***

Entry 5:
DFT (PBE-GGA) results for ZnIn2Bi after structural relaxation.

Cell: 5.3716 5.3716 5.3716 Å, 60.00 60.00 60.00°
Positions (direct):
Zn (0.0000, 0.0000, 0.0000)
Bi (0.5000, 0.5000, 0.5000)
In (0.2500, 0.2500, 0.2500)
In (0.7500, 0.7500, 0.7500)

Values from the calculation:
As for the polymorph energy (0 for the lowest one): 0.025 eV/atom. The value obtained for the formation energy is 2.29 kcal/mol of atoms.

***

Entry 6:
DFT (PBE-GGA) results for LiSb2Ru2 after structural relaxation.

Cell: 4.5495 4.5495 6.0294 Å, 67.83 67.83 90.00°
Positions (direct):
Sb (0.7500, 0.2500, 0.5000)
Sb (0.2500, 0.7500, 0.5000)
Li (0.0000, 0.0000, 0.0000)
Ru (0.3832, 0.3832, 0.2336)
Ru (0.6168, 0.6168, 0.7664)

Values from the calculation:
As for the polymorph energy (0 for the lowest one): 0.231 eV/atom. The value obtained for the formation energy without anion corrections is 0.502 eV per formula unit.

***

Entry 7:
DFT (PBE-GGA) results for KCrInGe2 after structural relaxation.

Cell: 4.7478 4.7478 5.1523 Å, 90.00 90.00 90.00°
Positions (direct):
Cr (0.0000, 0.0000, 0.0000)
Ge (0.0000, 0.5000, 0.0000)
Ge (0.5000, 0.0000, 0.0000)
K (0.5000, 0.5000, 0.5000)
In (0.0000, 0.0000, 0.5000)

Values from the calculation:
The value obtained for the formation energy is 0.52 kcal/mol of atoms.

***

Entry 8:
DFT (PBE-GGA) results for PmY2Cd3 after structural relaxation.

Cell: 5.3173 8.4194 7.6263 Å, 90.00 90.00 71.59°
Positions (direct):
Pm (0.3341, 0.3318, 0.0000)
Pm (0.6659, 0.6682, 0.0000)
Y (0.0000, 0.0000, 0.0000)
Y (0.0000, 0.0000, 0.5000)
Y (0.3317, 0.3366, 0.5000)
Y (0.6683, 0.6634, 0.5000)
Cd (0.8353, 0.3293, 0.7427)
Cd (0.5000, 0.0000, 0.2575)
Cd (0.1647, 0.6707, 0.2573)
Cd (0.8354, 0.3293, 0.2573)
Cd (0.1646, 0.6707, 0.7427)
Cd (0.5000, 0.0000, 0.7425)

Values from the calculation:
The value obtained for the formation energy is -7.81 kcal/mol of atoms.

***

Entry 9:
DFT (PBE-GGA) results for NaHoCdGa after structural relaxation.

Cell: 5.0917 5.0917 5.0917 Å, 60.00 60.00 60.00°
Positions (direct):
Na (0.0000, 0.0000, 0.0000)
Ho (0.5000, 0.5000, 0.5000)
Ga (0.2500, 0.2500, 0.2500)
Cd (0.7500, 0.7500, 0.7500)

Values from the calculation:
The value obtained for the formation energy is -4.93 kcal/mol of atoms.

***

Entry 10:
DFT (PBE-GGA) results for CaZnIrO5 after structural relaxation.

Cell: 5.7989 5.7989 7.4189 Å, 105.33 105.33 107.66°
Positions (direct):
Ca (0.3219, 0.6781, 0.2500)
Ca (0.6781, 0.3219, 0.7500)
Zn (0.6978, 0.3022, 0.2500)
Zn (0.3022, 0.6978, 0.7500)
Ir (0.0000, 0.0000, 0.5000)
Ir (0.0000, 0.0000, 0.0000)
O (0.0677, 0.9323, 0.2500)
O (0.9323, 0.0677, 0.7500)
O (0.8933, 0.2987, 0.0800)
O (0.1067, 0.7013, 0.9200)
O (0.7013, 0.1067, 0.4200)
O (0.2987, 0.8933, 0.5800)
O (0.7464, 0.6574, 0.4073)
O (0.2536, 0.3426, 0.5927)
O (0.3426, 0.2536, 0.0927)
O (0.6574, 0.7464, 0.9073)

Values from the calculation:
The value obtained for the formation energy without anion corrections is -11.288 eV per formula unit.

***

Entry 11:
DFT (PBE-GGA) results for TbPrNdHo2 after structural relaxation.

Cell: 7.1719 8.4524 7.1847 Å, 126.03 90.00 90.00°
Positions (direct):
Tb (0.2500, 0.7216, 0.4433)
Tb (0.7500, 0.2784, 0.5567)
Pr (0.7500, 0.7303, 0.4606)
Pr (0.2500, 0.2697, 0.5394)
Nd (0.2500, 0.9986, 0.9971)
Nd (0.7500, 0.0014, 0.0029)
Ho (0.5000, 0.3137, 0.0000)
Ho (0.0000, 0.6863, 0.0000)
Ho (0.5000, 0.6863, 0.0000)
Ho (0.0000, 0.3137, 0.0000)

Values from the calculation:
The value obtained for the formation energy is 8.56 kcal/mol of atoms.

***

Entry 12:
DFT (PBE-GGA) results for Sr3LiIn3 after structural relaxation.

Cell: 5.0177 6.4737 15.9651 Å, 86.99 80.96 67.20°
Positions (direct):
Sr (0.5358, 0.3097, 0.6186)
Sr (0.4642, 0.6903, 0.3814)
Sr (0.2479, 0.2749, 0.2292)
Sr (0.7521, 0.7251, 0.7708)
Sr (0.3952, 0.2848, 0.9248)
Sr (0.6048, 0.7152, 0.0752)
Li (0.7576, 0.0762, 0.4085)
Li (0.2424, 0.9238, 0.5915)
In (0.8684, 0.7173, 0.5459)
In (0.1316, 0.2827, 0.4541)
In (0.1084, 0.8631, 0.9201)
In (0.8916, 0.1369, 0.0799)
In (0.9513, 0.8611, 0.2364)
In (0.0487, 0.1389, 0.7636)

Values from the calculation:
The value obtained for the formation energy is -8.23 kcal/mol of atoms.

***

Entry 13:
DFT (PBE-GGA) results for CeScSbSe after structural relaxation.

Cell: 4.0623 4.0625 7.7604 Å, 90.00 105.17 120.00°
Positions (direct):
Ce (0.9719, 0.3839, 0.3710)
Sc (0.3006, 0.5483, 0.8642)
Sb (0.1182, 0.9571, 0.0905)
Se (0.4871, 0.1415, 0.6439)

Values from the calculation:
The value obtained for the formation energy without anion corrections is -5.014 eV per formula unit.

***

Entry 14:
DFT (PBE-GGA) results for Ba5Sc6O14 after structural relaxation.

Cell: 8.9872 8.9872 11.7802 Å, 90.00 90.00 93.39°
Positions (direct):
Ba (0.2808, 0.9675, 0.7380)
Ba (0.0325, 0.7192, 0.2380)
Ba (0.6868, 0.9681, 0.8081)
Ba (0.0319, 0.3132, 0.3081)
Ba (0.5218, 0.5218, 0.7617)
Ba (0.4782, 0.4782, 0.2617)
Ba (0.9681, 0.6868, 0.8081)
Ba (0.3132, 0.0319, 0.3081)
Ba (0.7192, 0.0325, 0.2380)
Ba (0.9675, 0.2808, 0.7380)
Sc (0.3560, 0.8436, 0.0268)
Sc (0.1564, 0.6440, 0.5268)
Sc (0.5071, 0.7889, 0.4955)
Sc (0.2111, 0.4929, 0.9955)
Sc (0.7018, 0.7018, 0.0549)
Sc (0.0122, 0.0122, 0.0315)
Sc (0.2982, 0.2982, 0.5549)
Sc (0.9878, 0.9878, 0.5315)
Sc (0.7889, 0.5071, 0.4955)
Sc (0.4929, 0.2111, 0.9955)
Sc (0.8436, 0.3560, 0.0268)
Sc (0.6440, 0.1564, 0.5268)
O (0.0656, 0.8084, 0.6125)
O (0.1916, 0.9344, 0.1125)
O (0.3040, 0.7488, 0.4242)
O (0.2512, 0.6960, 0.9242)
O (0.0078, 0.4387, 0.9267)
O (0.5613, 0.9922, 0.4267)
O (0.4918, 0.8041, 0.6615)
O (0.1959, 0.5082, 0.1615)
O (0.2267, 0.4821, 0.6280)
O (0.5179, 0.7733, 0.1280)
O (0.8601, 0.8601, 0.0914)
O (0.3720, 0.3720, 0.9383)
O (0.6973, 0.6973, 0.8899)
O (0.1399, 0.1399, 0.5914)
O (0.9979, 0.9979, 0.3652)
O (0.3027, 0.3027, 0.3899)
O (0.0021, 0.0021, 0.8652)
O (0.6280, 0.6280, 0.4383)
O (0.4821, 0.2267, 0.6280)
O (0.7733, 0.5179, 0.1280)
O (0.5082, 0.1959, 0.1615)
O (0.8041, 0.4918, 0.6615)
O (0.9922, 0.5613, 0.4267)
O (0.4387, 0.0078, 0.9267)
O (0.6960, 0.2512, 0.9242)
O (0.7488, 0.3040, 0.4242)
O (0.8084, 0.0656, 0.6125)
O (0.9344, 0.1916, 0.1125)

Values from the calculation:
The value obtained for the formation energy without anion corrections is -77.703 eV per formula unit.

***

Entry 15:
DFT (PBE-GGA) results for Zn2BIr2 after structural relaxation.

Cell: 5.7142 5.7142 4.1951 Å, 90.00 90.00 90.00°
Positions (direct):
Zn (0.1555, 0.6555, 0.5000)
Zn (0.6555, 0.8445, 0.5000)
Zn (0.8445, 0.3445, 0.5000)
Zn (0.3445, 0.1555, 0.5000)
Ir (0.3353, 0.8353, 0.0000)
Ir (0.8353, 0.6647, 0.0000)
Ir (0.6647, 0.1647, 0.0000)
Ir (0.1647, 0.3353, 0.0000)
B (0.0000, 0.0000, 0.0000)
B (0.5000, 0.5000, 0.0000)

Values from the calculation:
As for the polymorph energy (0 for the lowest one): 0.050 eV/atom. The value obtained for the formation energy is -5.87 kcal/mol of atoms.

***

Entry 16:
DFT (PBE-GGA) results for MgSc3 after structural relaxation.

Cell: 5.7803 5.7803 5.7803 Å, 90.00 90.00 90.00°
Positions (direct):
Mg (0.0000, 0.0000, 0.0000)
Mg (0.5000, 0.5000, 0.5000)
Sc (0.7500, 0.5000, 0.0000)
Sc (0.2500, 0.5000, 0.0000)
Sc (0.0000, 0.7500, 0.5000)
Sc (0.0000, 0.2500, 0.5000)
Sc (0.5000, 0.0000, 0.2500)
Sc (0.5000, 0.0000, 0.7500)

Values from the calculation:
As for the polymorph energy (0 for the lowest one): 0.098 eV/atom. The value obtained for the formation energy is 2.02 kcal/mol of atoms.

***

Entry 17:
DFT (PBE-GGA) results for FeOsRh4 after structural relaxation.

Cell: 4.0850 4.0881 7.1567 Å, 73.43 73.42 60.03°
Positions (direct):
Fe (0.5000, 0.5000, 0.5000)
Os (0.0000, 0.0000, 0.0000)
Rh (0.6229, 0.6225, 0.1317)
Rh (0.3771, 0.3775, 0.8683)
Rh (0.1252, 0.1252, 0.6245)
Rh (0.8748, 0.8748, 0.3755)

Values from the calculation:
As for the polymorph energy (0 for the lowest one): 0.385 eV/atom. The value obtained for the formation energy is 9.65 kcal/mol of atoms.

***

Entry 18:
DFT (PBE-GGA) results for TlIn2Br after structural relaxation.

Cell: 3.8238 5.1750 6.2876 Å, 90.00 90.00 90.00°
Positions (direct):
Tl (0.0000, 0.0000, 0.6243)
Br (0.5000, 0.5000, 0.6257)
In (0.0000, 0.0000, 0.1242)
In (0.5000, 0.5000, 0.1258)

Values from the calculation:
As for the polymorph energy (0 for the lowest one): 0.000 eV/atom. The value obtained for the formation energy without anion corrections is -1.017 eV per formula unit.

***

Entry 19:
DFT (PBE-GGA) results for TlRh4 after structural relaxation.

Cell: 4.9067 4.9067 4.9067 Å, 90.00 90.00 90.00°
Positions (direct):
Tl (0.5000, 0.5000, 0.5000)
Rh (0.0000, 0.0000, 0.0000)
Rh (0.5000, 0.0000, 0.5000)
Rh (0.0000, 0.5000, 0.5000)
Rh (0.5000, 0.5000, 0.0000)

Values from the calculation:
As for the polymorph energy (0 for the lowest one): 1.858 eV/atom. The value obtained for the formation energy is 45.36 kcal/mol of atoms.

***

Entry 20:
DFT (PBE-GGA) results for MnWS2 after structural relaxation.

Cell: 8.0841 8.0841 8.0841 Å, 22.52 22.52 22.52°
Positions (direct):
S (0.9022, 0.9022, 0.9022)
S (0.0978, 0.0978, 0.0978)
Mn (0.0000, 0.0000, 0.0000)
W (0.5000, 0.5000, 0.5000)

Values from the calculation:
As for the polymorph energy (0 for the lowest one): 0.000 eV/atom. The value obtained for the formation energy without anion corrections is -0.565 eV per formula unit.

***

Entry 21:
DFT (PBE-GGA) results for NiMo2P after structural relaxation.

Cell: 4.7492 4.7492 4.7492 Å, 139.64 125.88 69.63°
Positions (direct):
Ni (0.5000, 0.0000, 0.5000)
Mo (0.7730, 0.7730, 0.0000)
Mo (0.2270, 0.2270, 0.0000)
P (0.0000, 0.5000, 0.5000)

Values from the calculation:
The value obtained for the formation energy is -1.53 kcal/mol of atoms.

***

Entry 22:
DFT (PBE-GGA) results for KRb6Hg2 after structural relaxation.

Cell: 11.5137 11.5137 11.5137 Å, 105.28 111.26 111.95°
Positions (direct):
K (0.0000, 0.5000, 0.5000)
K (0.0000, 0.0000, 0.0000)
Rb (0.4797, 0.2944, 0.1853)
Rb (0.5203, 0.7056, 0.8147)
Rb (0.8909, 0.7056, 0.1853)
Rb (0.1091, 0.2944, 0.8147)
Rb (0.2210, 0.7628, 0.9838)
Rb (0.7790, 0.2372, 0.0162)
Rb (0.7790, 0.7628, 0.5419)
Rb (0.2210, 0.2372, 0.4581)
Rb (0.3064, 0.9841, 0.6777)
Rb (0.6936, 0.0159, 0.3223)
Rb (0.6936, 0.3714, 0.6777)
Rb (0.3064, 0.6286, 0.3223)
Hg (0.5000, 0.3888, 0.8888)
Hg (0.5000, 0.6112, 0.1112)
Hg (0.3760, 0.0000, 0.3760)
Hg (0.6240, 0.0000, 0.6240)

Values from the calculation:
As for the polymorph energy (0 for the lowest one): 0.000 eV/atom. The value obtained for the formation energy is -2.36 kcal/mol of atoms.

***

| no. | E (eV per atom) |
| --- | --- |
| 1 | -2.907 |
| 2 | -5.166 |
| 3 | -4.806 |
| 4 | -4.534 |
| 5 | -2.559 |
| 6 | -5.642 |
| 7 | -4.516 |
| 8 | -3.743 |
| 9 | -2.673 |
| 10 | -6.027 |
| 11 | -4.295 |
| 12 | -2.525 |
| 13 | -6.222 |
| 14 | -7.789 |
| 15 | -5.644 |
| 16 | -5.060 |
| 17 | -7.764 |
| 18 | -2.633 |
| 19 | -4.387 |
| 20 | -7.736 |
| 21 | -8.280 |
| 22 | -0.937 |